# Pm2DyPa (PBE, optimized geometry)
data_Pm2DyPa
_cell_length_a 3.3708
_cell_length_b 3.3708
_cell_length_c 37.2221
_cell_angle_alpha 90.00
_cell_angle_beta 90.00
_cell_angle_gamma 120.00
_space_group_name_H-M_alt 'R -3 m'
_space_group_IT_number 166
_space_group_name_Hall '-R 3 2"'
loop_
_atom_site_label
_atom_site_type_symbol
_atom_site_fract_x
_atom_site_fract_y
_atom_site_fract_z
_atom_site_occupancy
Pm1 Pm 0.0000 0.0000 0.0866 1
Dy1 Dy 0.0000 0.0000 0.5000 1
Pa1 Pa 0.0000 0.0000 0.0000 1
# Energy of formation from the pure elements: 0.304 eV/atom
# ρ: 9.3 g/cm3
# Energy above the most stable polymorph in this dataset: 0.57 eV per formula unit

# PmDyPa2Rh4 (PBE, optimized geometry)
data_PmDyPa2Rh4
_cell_length_a 7.645
_cell_length_b 10.974
_cell_length_c 8.409
_cell_angle_alpha 90.00
_cell_angle_beta 90.00
_cell_angle_gamma 90.00
_space_group_name_H-M_alt 'F m m 2'
_space_group_IT_number 42
_space_group_name_Hall 'F 2 -2'
loop_
_atom_site_label
_atom_site_type_symbol
_atom_site_fract_x
_atom_site_fract_y
_atom_site_fract_z
_atom_site_occupancy
Pm1 Pm 0.000 0.000 0.000 1
Dy1 Dy 0.000 0.000 0.583 1
Pa1 Pa 0.250 0.250 0.235 1
Rh1 Rh 0.000 0.234 0.475 1
Rh2 Rh 0.196 0.000 0.287 1
# Energy of formation from the pure elements: -0.680 eV/atom
# ρ: 11.1 g/cm3

Q: Which value of energy of formation from the pure elements does entry 2 give?
A: -0.680 eV/atom

Q: What is the energy of formation from the pure elements in the first record?
A: 0.304 eV/atom

Q: Look up the energy of formation from the pure elements of the first one.
A: 0.304 eV/atom